# Sr2MgPd6Pb

A relaxed structure of Sr2MgPd6Pb (PBE, Alexandria via LeMat-Bulk).

Properties
Space group = P-1
N(E_F) = 0.387 states/eV/atom
E = -4.426 eV per atom

Lattice parameters (Å, degrees): 6.9986 6.9160 6.9927 81.44 47.93 100.85
Closest atoms and distances in Å follow each position.
Element x y z (fractional)
Pb: 0.0000 0.0000 0.0000  6 Pd 2.71-2.77
Sr: 0.7539 0.2838 0.4690  7 Pd 3.21-3.43, 1 Mg 3.59
Sr: 0.2461 0.7161 0.5310  7 Pd 3.21-3.43, 1 Mg 3.59
Pd: 0.2461 0.0764 0.1827  1 Mg 2.69, 4 Pd 2.72-2.79, 1 Pb 2.77
Pd: 0.7475 0.2553 0.0030  1 Mg 2.65, 1 Pb 2.72, 4 Pd 2.72-2.91
Pd: 0.7539 0.9236 0.8173  1 Mg 2.69, 4 Pd 2.72-2.79, 1 Pb 2.77
Pd: 0.2525 0.7447 0.9970  1 Mg 2.65, 1 Pb 2.72, 4 Pd 2.72-2.91
Pd: 0.7359 0.7390 0.5087  1 Mg 2.63, 1 Pb 2.71, 4 Pd 2.73-2.91
Mg: 0.5000 0.5000 0.0000  6 Pd 2.63-2.69
Pd: 0.2641 0.2610 0.4913  1 Mg 2.63, 1 Pb 2.71, 4 Pd 2.73-2.91

---

# Mg2TiPdPb

A relaxed structure of Mg2TiPdPb (PBE, Alexandria via LeMat-Bulk).

Properties
Space group = P4/mmm
N(E_F) = 0.913 states/eV/atom
E = -3.399 eV per atom

Lattice parameters (Å, degrees): 5.3879 4.5815 5.3879 90.00 90.00 90.00
Closest atoms and distances in Å follow each position.
Element x y z (fractional)
Mg: 0.0000 0.0000 0.5000  2 Ti 2.69
Mg: 0.5000 0.0000 0.0000  2 Ti 2.69
Ti: 0.0000 0.0000 0.0000  2 Pd 2.29
Pd: 0.0000 0.5000 0.0000  2 Ti 2.29
Pb: 0.5000 0.5000 0.5000  8 Mg 3.54, 4 Pd 3.81

---

# Mg5TlPd2Pb2

A relaxed structure of Mg5TlPd2Pb2 (PBE, Alexandria via LeMat-Bulk).

Properties
Space group = P4/mbm
N(E_F) = 0.327 states/eV/atom
E = -3.090 eV per atom

Lattice parameters (Å, degrees): 3.9091 10.7040 10.7040 90.00 90.00 90.00
Closest atoms and distances in Å follow each position.
Element x y z (fractional)
Mg: 0.5000 0.0000 0.5000  4 Pd 2.69
Pd: 0.0000 0.3781 0.1219  6 Mg 2.69-2.70
Pb: 0.0000 0.8256 0.6744  3 Pd 3.08-3.22, 6 Mg 3.28-3.41
Mg: 0.5000 0.9326 0.2133  2 Pd 2.70
Pd: 0.0000 0.1219 0.6219  6 Mg 2.69-2.70
Tl: 0.0000 0.5000 0.5000  8 Mg 3.09
Mg: 0.5000 0.0674 0.7867  2 Pd 2.70
Pd: 0.0000 0.6219 0.8781  6 Mg 2.69-2.70
Mg: 0.5000 0.5000 0.0000  4 Pd 2.69
Mg: 0.5000 0.2867 0.5674  2 Pd 2.70
Tl: 0.0000 0.0000 0.0000  8 Mg 3.09
Mg: 0.5000 0.5674 0.7133  2 Pd 2.70
Mg: 0.5000 0.2133 0.0674  2 Pd 2.70
Mg: 0.5000 0.7133 0.4326  2 Pd 2.70
Pb: 0.0000 0.3256 0.8256  3 Pd 3.08-3.22, 6 Mg 3.28-3.41
Pb: 0.0000 0.1744 0.3256  3 Pd 3.08-3.22, 6 Mg 3.28-3.41
Pd: 0.0000 0.8781 0.3781  6 Mg 2.69-2.70
Mg: 0.5000 0.4326 0.2867  2 Pd 2.70
Mg: 0.5000 0.7867 0.9326  2 Pd 2.70
Pb: 0.0000 0.6744 0.1744  3 Pd 3.08-3.22, 6 Mg 3.28-3.41